GdScCu: optimized geometry, PBE.

Calculated values
E = -4.821 eV/atom
Formation energy = 7.7 kJ per mole of atoms
Space group = F-43m

a b c (Å): 4.692 4.692 4.692
angles (deg): 60.00 60.00 60.00
Sites, in units of the cell vectors:
1 Gd 0.000 0.000 0.000
2 Sc 0.500 0.500 0.500
3 Cu 0.250 0.250 0.250

=====

GdSc2Cu4Si4: optimized geometry, PBE.

Calculated values
E = -5.532 eV/atom
Space group = Immm

a b c (Å): 7.648 7.648 7.648
angles (deg): 149.93 129.15 60.21
Sites, in units of the cell vectors:
1 Gd 0.000 0.000 0.000
2 Sc 0.374 0.874 0.500
3 Sc 0.626 0.126 0.500
4 Cu 0.022 0.328 0.693
5 Cu 0.365 0.672 0.693
6 Cu 0.635 0.328 0.307
7 Cu 0.978 0.672 0.307
8 Si 0.222 0.222 0.000
9 Si 0.320 0.500 0.820
10 Si 0.680 0.500 0.180
11 Si 0.778 0.778 0.000

=====

GdScCu2Sn2: optimized geometry, PBE.

Calculated values
E = -4.978 eV/atom
Space group = P3m1

a b c (Å): 4.482 4.482 7.093
angles (deg): 90.00 90.00 120.00
Sites, in units of the cell vectors:
1 Gd 0.000 0.000 0.000
2 Sc 0.000 0.000 0.499
3 Cu 0.333 0.667 0.328
4 Cu 0.667 0.333 0.805
5 Sn 0.333 0.667 0.718
6 Sn 0.667 0.333 0.242

=====

GdSc2Cu4Sn4: optimized geometry, PBE.

Calculated values
E = -4.814 eV/atom
Space group = Immm

a b c (Å): 8.259 8.259 8.259
angles (deg): 149.73 129.47 60.04
Sites, in units of the cell vectors:
1 Gd 0.000 0.000 0.000
2 Sc 0.372 0.872 0.500
3 Sc 0.628 0.128 0.500
4 Cu 0.017 0.328 0.689
5 Cu 0.361 0.672 0.689
6 Cu 0.639 0.328 0.311
7 Cu 0.983 0.672 0.311
8 Sn 0.222 0.222 0.000
9 Sn 0.303 0.500 0.803
10 Sn 0.697 0.500 0.197
11 Sn 0.778 0.778 0.000

=====

GdCu2Se4: optimized geometry, PBE.

Calculated values
E = -4.416 eV/atom
Space group = C2/c

a b c (Å): 7.819 7.819 7.206
angles (deg): 116.96 116.96 99.10
Sites, in units of the cell vectors:
1 Gd 0.125 0.875 0.750
2 Gd 0.875 0.125 0.250
3 Cu 0.000 0.500 0.000
4 Cu 0.500 0.000 0.500
5 Cu 0.500 0.500 0.000
6 Cu 0.500 0.500 0.500
7 Se 0.138 0.279 0.801
8 Se 0.166 0.527 0.385
9 Se 0.279 0.138 0.301
10 Se 0.473 0.834 0.115
11 Se 0.527 0.166 0.885
12 Se 0.721 0.862 0.699
13 Se 0.834 0.473 0.615
14 Se 0.862 0.721 0.199

=====

Gd3CuSiSe7: optimized geometry, PBE.

Calculated values
E = -5.295 eV/atom
Space group = P6_3

a b c (Å): 10.423 10.423 6.026
angles (deg): 90.00 90.00 120.00
Sites, in units of the cell vectors:
1 Gd 0.129 0.355 0.000
2 Gd 0.226 0.871 0.000
3 Gd 0.355 0.226 0.500
4 Gd 0.645 0.774 0.000
5 Gd 0.774 0.129 0.500
6 Gd 0.871 0.645 0.500
7 Cu 0.000 0.000 0.042
8 Cu 0.000 0.000 0.542
9 Si 0.333 0.667 0.410
10 Si 0.667 0.333 0.910
11 Se 0.096 0.260 0.525
12 Se 0.102 0.582 0.256
13 Se 0.164 0.904 0.525
14 Se 0.260 0.164 0.025
15 Se 0.333 0.667 0.787
16 Se 0.418 0.520 0.256
17 Se 0.480 0.898 0.256
18 Se 0.520 0.102 0.756
19 Se 0.582 0.480 0.756
20 Se 0.667 0.333 0.287
21 Se 0.740 0.836 0.525
22 Se 0.836 0.096 0.025
23 Se 0.898 0.418 0.756
24 Se 0.904 0.740 0.025

=====

Q: The highest E belongs to which entry?
A: GdCu2Se4

=====

Q: Which formula does entry 3 have?
A: GdScCu2Sn2

=====

Q: Number 2 is which compound?
A: GdSc2Cu4Si4